VASP calculation (PBE) on crystalline SrOs4O12 at its relaxed geometry.

Lattice parameters (Å, degrees): 7.6632 7.6632 7.6632 90.00 90.00 90.00
Closest atoms and distances in Å follow each position.
Space group Im-3 (No. 204)
Asymmetric unit:
Sr 0.0000 0.0000 0.0000 [2 per cell]  12 O 2.68
Os 0.2500 0.2500 0.2500 [8 per cell]  6 O 1.92
O 0.0000 0.2464 0.2477 [24 per cell]  2 Os 1.92

ΔE_f (raw) = -1.18 eV/atom

=====

VASP calculation (PBE) on crystalline SrOsO3 at its relaxed geometry.

Lattice parameters (Å, degrees): 5.5467 5.5467 5.2606 90.00 90.00 120.00
Closest atoms and distances in Å follow each position.
Space group P6_3/mmc (No. 194)
Asymmetric unit:
Sr 0.3333 0.6667 0.2500 [2 per cell]  6 O 2.77
Os 0.0000 0.0000 0.0000 [2 per cell]  6 O 2.03
O 0.1609 0.3219 0.7500 [6 per cell]  2 Os 2.03

ΔE_f (raw) = -1.62 eV/atom

=====

VASP calculation (PBE) on crystalline SrOsO3 at its relaxed geometry.

Lattice parameters (Å, degrees): 3.7025 3.7025 12.7124 90.00 90.00 120.00
Closest atoms and distances in Å follow each position.
Space group P6_3/mmc (No. 194)
Asymmetric unit:
Sr 0.0000 0.0000 0.0000 [2 per cell]  6 O 2.48
Os 0.3333 0.6667 0.2500 [2 per cell]  5 O 1.92-2.14
O 0.0000 0.0000 0.2500 [2 per cell]  3 Os 2.14
O 0.3333 0.6667 0.0993 [4 per cell]  1 Os 1.92

ΔE_f (raw) = -1.40 eV/atom

=====

VASP calculation (PBE) on crystalline SrOsO4 at its relaxed geometry.

Lattice parameters (Å, degrees): 7.3185 11.7296 5.0975 90.00 127.63 90.00
Closest atoms and distances in Å follow each position.
Space group C2/c (No. 15)
Asymmetric unit:
Sr 0.0000 0.1366 0.2500 [4 per cell]  8 O 2.50-2.76
Os 0.0000 0.4101 0.7500 [4 per cell]  4 O 1.83-1.88
O 0.1423 0.3030 0.6713 [8 per cell]  1 Os 1.83
O 0.2124 0.4675 0.1825 [8 per cell]  1 Os 1.88

ΔE_f (raw) = -1.68 eV/atom
energy above the most stable polymorph in this dataset = 0 meV per atom

=====

VASP calculation (PBE) on crystalline SrOsO3 at its relaxed geometry.

Lattice parameters (Å, degrees): 4.0684 4.0684 19.9495 90.00 90.00 90.00
Closest atoms and distances in Å follow each position.
Space group I-4m2 (No. 119)
Asymmetric unit:
Sr 0.0000 0.0000 0.0000 [2 per cell]  4 O 2.34
Sr 0.0000 0.5000 0.2500 [2 per cell]  4 O 2.46
Os 0.0000 0.5000 0.6925 [4 per cell]  2 O 2.05
O 0.0000 0.0000 0.3189 [4 per cell]  2 Os 2.05
O 0.0000 0.3283 0.0964 [8 per cell]  1 O 1.40

ΔE_f (raw) = -0.49 eV/atom

=====

VASP calculation (PBE) on crystalline SrOs3O9 at its relaxed geometry.

Lattice parameters (Å, degrees): 5.5389 7.5170 8.1471 90.00 93.68 90.00
Closest atoms and distances in Å follow each position.
Space group P2_1/m (No. 11)
Asymmetric unit:
Sr 0.0231 0.2500 0.4287 [2 per cell]  7 O 2.52-2.72
Os 0.0000 0.0000 0.0000 [2 per cell]  6 O 1.88-2.00
Os 0.4701 0.0028 0.6945 [4 per cell]  6 O 1.87-2.04
O 0.0414 0.2500 0.9852 [2 per cell]  2 Os 1.90
O 0.1645 0.5420 0.7916 [4 per cell]  2 Os 1.94-2.00
O 0.2799 0.5240 0.4777 [4 per cell]  2 Os 2.01-2.04
O 0.2962 0.5184 0.1251 [4 per cell]  2 Os 1.88-1.90
O 0.4268 0.2500 0.6920 [2 per cell]  2 Os 1.87
O 0.4715 0.2500 0.3100 [2 per cell]  2 Os 1.93

ΔE_f (raw) = -1.34 eV/atom

=====

VASP calculation (PBE) on crystalline SrOsO3 at its relaxed geometry.

Lattice parameters (Å, degrees): 5.6523 5.6523 15.4210 90.00 90.00 120.00
Closest atoms and distances in Å follow each position.
Space group R-3 (No. 148, hexagonal axes)
Asymmetric unit:
Sr 0.0000 0.0000 0.1328 [6 per cell]  6 O 2.44-2.64
Os 0.0000 0.0000 0.3368 [6 per cell]  6 O 2.04
O 0.0081 0.6087 0.9307 [18 per cell]  2 Os 2.04

ΔE_f (raw) = -1.58 eV/atom

=====

VASP calculation (PBE) on crystalline Sr3Os2O7 at its relaxed geometry.

Lattice parameters (Å, degrees): 3.9370 3.9370 21.0028 90.00 90.00 90.00
Closest atoms and distances in Å follow each position.
Space group I4/mmm (No. 139)
Asymmetric unit:
Sr 0.0000 0.0000 0.0000 [2 per cell]  12 O 2.78-2.85
Sr 0.0000 0.0000 0.1868 [4 per cell]  5 O 2.44-2.71
Os 0.0000 0.0000 0.4014 [4 per cell]  6 O 1.97-2.07
O 0.0000 0.0000 0.3030 [4 per cell]  1 Os 2.07
O 0.0000 0.0000 0.5000 [2 per cell]  2 Os 2.07
O 0.0000 0.5000 0.0981 [8 per cell]  2 Os 1.97

ΔE_f (raw) = -1.88 eV/atom

=====

Number 1: electronic total energy -7.425 eV per atom, Fermi-level density of states 9.136 states/eV/f.u.. Number 2: electronic total energy -7.175 eV per atom, Fermi-level density of states 2.619 states/eV/f.u.. Number 3: electronic total energy -6.955 eV per atom, Fermi-level density of states 2.543 states/eV/f.u.. Number 4: electronic total energy -7.136 eV per atom, Fermi-level density of states 1.007 states/eV/f.u.. Number 5: electronic total energy -6.044 eV per atom, Fermi-level density of states 3.108 states/eV/f.u.. Number 6: electronic total energy -7.490 eV per atom, Fermi-level density of states 5.958 states/eV/f.u.. Number 7: electronic total energy -7.135 eV per atom, Fermi-level density of states 1.823 states/eV/f.u.. Number 8: electronic total energy -7.060 eV per atom, Fermi-level density of states 3.809 states/eV/f.u..